Entry from the Alexandria database: a relaxed structure of Ta6OsRu (PBE-GGA).

Output
The total magnetic moment is 0.00 μB/cell. The calculation puts the formation energy at -0.28 eV per atom.

a = 7.3326 Å, b = 7.3326 Å, c = 7.3326 Å
α = 143.79°, β = 143.79°, γ = 52.14°
Element x y z (fractional)
Ta (0.1216, 0.6216, 0.5000)
Ta (0.2501, 0.2501, 0.0000)
Ta (0.3784, 0.8784, 0.5000)
Ta (0.6216, 0.1216, 0.5000)
Ta (0.7499, 0.7499, 0.0000)
Ta (0.8784, 0.3784, 0.5000)
Os (0.0000, 0.0000, 0.0000)
Ru (0.5000, 0.5000, 0.0000)

Entry from the Alexandria database: a relaxed structure of Ta2Os2Ru (PBE-GGA).

Output
The total magnetic moment is 0.00 μB/cell. The calculation puts the formation energy at 0.10 eV per atom.

a = 7.3497 Å, b = 7.3497 Å, c = 3.0718 Å
α = 90.00°, β = 90.00°, γ = 90.00°
Element x y z (fractional)
Ta (0.1680, 0.3320, 0.0000)
Ta (0.3320, 0.8320, 0.0000)
Ta (0.6680, 0.1680, 0.0000)
Ta (0.8320, 0.6680, 0.0000)
Os (0.1327, 0.6327, 0.5000)
Os (0.3673, 0.1327, 0.5000)
Os (0.6327, 0.8673, 0.5000)
Os (0.8673, 0.3673, 0.5000)
Ru (0.0000, 0.0000, 0.5000)
Ru (0.5000, 0.5000, 0.5000)

Entry from the Alexandria database: a relaxed structure of TaOs3Ru (PBE-GGA).

Output
The total magnetic moment is 2.22 μB/cell. The calculation puts the formation energy at 2.53 eV per atom. As for the distance to the lowest polymorph of the same formula: 1265 meV/atom.

a = 4.6874 Å, b = 4.6874 Å, c = 4.6874 Å
α = 90.00°, β = 90.00°, γ = 90.00°
Element x y z (fractional)
Ta (0.0000, 0.0000, 0.0000)
Os (0.0000, 0.0000, 0.5000)
Os (0.0000, 0.5000, 0.0000)
Os (0.5000, 0.0000, 0.0000)
Ru (0.5000, 0.5000, 0.5000)

Entry from the Alexandria database: a relaxed structure of TaOsRu6 (PBE-GGA).

Output
The total magnetic moment is 0.00 μB/cell. The calculation puts the formation energy at -0.04 eV per atom.

a = 5.4719 Å, b = 5.4719 Å, c = 3.8663 Å
α = 90.00°, β = 90.00°, γ = 90.00°
Element x y z (fractional)
Ta (0.0000, 0.0000, 0.0000)
Os (0.5000, 0.5000, 0.0000)
Ru (0.0000, 0.5000, 0.0000)
Ru (0.2577, 0.2577, 0.5000)
Ru (0.2577, 0.7423, 0.5000)
Ru (0.5000, 0.0000, 0.0000)
Ru (0.7423, 0.2577, 0.5000)
Ru (0.7423, 0.7423, 0.5000)